No. 1
CrPd2F after structural relaxation. Source: Alexandria via LeMat-Bulk, functional PBE with a Hubbard U.

```
data_CrPd2F
_cell_length_a 6.9112
_cell_length_b 6.9112
_cell_length_c 5.2483
_cell_angle_alpha 90.00
_cell_angle_beta 90.00
_cell_angle_gamma 90.00
_space_group_name_H-M_alt 'I -4 2 d'
_space_group_IT_number 122
_space_group_name_Hall 'I -4 2bw'
loop_
_atom_site_label
_atom_site_type_symbol
_atom_site_fract_x
_atom_site_fract_y
_atom_site_fract_z
Cr1 Cr 0.0000 0.0000 0.0000
Pd1 Pd 0.2130 0.7500 0.6250
F1 F 0.0000 0.0000 0.5000
```

Calculated values
crystal system = tetragonal
distance to the lowest polymorph of the same formula = 0.00 eV/f.u.
total magnetic moment = 4.01 μB per formula unit
D(E_F) = 0.9728 states/eV per atom



No. 2
Cr2PdF8 after structural relaxation. Source: Alexandria via LeMat-Bulk, functional PBE with a Hubbard U.

```
data_Cr2PdF8
_cell_length_a 9.9528
_cell_length_b 7.0503
_cell_length_c 4.0940
_cell_angle_alpha 90.00
_cell_angle_beta 90.19
_cell_angle_gamma 90.00
_space_group_name_H-M_alt 'C 1 2/m 1'
_space_group_IT_number 12
loop_
_space_group_symop_operation_xyz
'x,y,z'
'-x,-y,-z'
'-x,y,-z'
'x,-y,z'
'x+1/2,y+1/2,z'
'-x+1/2,-y+1/2,-z'
'-x+1/2,y+1/2,-z'
'x+1/2,-y+1/2,z'
loop_
_atom_site_label
_atom_site_type_symbol
_atom_site_fract_x
_atom_site_fract_y
_atom_site_fract_z
Cr1 Cr 0.1227 0.0000 0.2482
Pd1 Pd 0.0000 0.5000 0.0000
F1 F 0.0874 0.0000 0.7488
F2 F 0.1092 0.2694 0.2439
F3 F 0.1901 0.5000 0.7416
```

Calculated values
crystal system = monoclinic
total energy = -0.1959 Ha/atom
total magnetic moment = 8.00 μB per formula unit



No. 3
CrPd2F after structural relaxation. Source: Alexandria via LeMat-Bulk, functional PBE with a Hubbard U.

```
data_CrPd2F
_cell_length_a 5.9978
_cell_length_b 5.9978
_cell_length_c 5.9978
_cell_angle_alpha 90.00
_cell_angle_beta 90.00
_cell_angle_gamma 90.00
_space_group_name_H-M_alt 'F m -3 m'
_space_group_IT_number 225
_space_group_name_Hall '-F 4 2 3'
loop_
_atom_site_label
_atom_site_type_symbol
_atom_site_fract_x
_atom_site_fract_y
_atom_site_fract_z
Cr1 Cr 0.0000 0.0000 0.0000
Pd1 Pd 0.2500 0.2500 0.2500
F1 F 0.0000 0.0000 0.5000
```

Calculated values
crystal system = cubic
distance to the lowest polymorph of the same formula = 3.19 eV/f.u.
total magnetic moment = 0.00 μB per formula unit
D(E_F) = 2.4126 states/eV per atom



Among the records above, which one has the highest total magnetic moment?
Cr2PdF8